# 1
Entry from the Alexandria database: a relaxed structure of LiBH (PBE).

Unit cell a=3.0809 b=5.2860 c=6.5854 alpha=90.00 beta=90.00 gamma=90.00
Fractional positions:
1 H 0.7500 0.3003 0.9953
2 H 0.2500 0.1997 0.4953
3 H 0.2500 0.6997 0.0047
4 H 0.7500 0.8003 0.5047
5 Li 0.7500 0.1813 0.6749
6 Li 0.7500 0.6813 0.8251
7 Li 0.2500 0.3187 0.1749
8 Li 0.2500 0.8187 0.3251
9 B 0.7500 0.5589 0.4933
10 B 0.2500 0.4411 0.5067
11 B 0.2500 0.9411 0.9933
12 B 0.7500 0.0589 0.0067

## Properties
Energy: -4.206 eV/atom
Magnetic moment: 0.00 μB/f.u.
Polymorph energy (0 for the lowest one): 0.0000 eV per atom
Density of states at the Fermi level: 0.3 states/eV per cell
Volume: 8.9 Å³/atom
SG: No. 62

# 2
Entry from the Alexandria database: a relaxed structure of LiB2H6 (PBE).

Unit cell a=8.6268 b=8.6268 c=4.5368 alpha=106.61 beta=106.61 gamma=134.37
Fractional positions:
1 H 0.4394 0.7336 0.1641
2 H 0.9836 0.1894 0.6641
3 H 0.3842 0.9599 0.0499
4 H 0.0506 0.8556 0.8252
5 H 0.1056 0.8006 0.3252
6 H 0.5253 0.3195 0.3359
7 H 0.2099 0.1342 0.5499
8 H 0.9100 0.3343 0.9501
9 H 0.4754 0.7804 0.6748
10 H 0.0304 0.2254 0.1748
11 H 0.5695 0.2753 0.8359
12 H 0.5843 0.6600 0.4501
13 B 0.4952 0.7228 0.4263
14 B 0.3190 0.0465 0.0737
15 B 0.2965 0.0690 0.5737
16 B 0.9728 0.2452 0.9263
17 Li 0.4615 0.9615 0.5000
18 Li 0.2115 0.2115 0.0000

## Properties
Energy: -4.003 eV/atom
Magnetic moment: 0.00 μB/f.u.
Polymorph energy (0 for the lowest one): 0.0000 eV per atom
Density of states at the Fermi level: 3.5 states/eV per cell
Volume: 9.1 Å³/atom
SG: No. 43

# 3
Entry from the Alexandria database: a relaxed structure of LiB6H6 (PBE).

Unit cell a=9.5251 b=9.5251 c=9.5251 alpha=90.00 beta=90.00 gamma=90.00
Fractional positions:
1 H 0.7081 0.5628 0.4384
2 H 0.7118 0.6501 0.1556
3 H 0.7882 0.3499 0.6556
4 H 0.6501 0.1556 0.7118
5 H 0.1501 0.1556 0.7882
6 H 0.2919 0.4372 0.5616
7 H 0.6556 0.7882 0.3499
8 H 0.7118 0.8499 0.6556
9 H 0.8499 0.6556 0.7118
10 H 0.8499 0.8444 0.2118
11 H 0.4372 0.9384 0.7919
12 H 0.2081 0.5628 0.0616
13 H 0.0628 0.4384 0.7919
14 H 0.7882 0.1501 0.1556
15 H 0.6556 0.7118 0.8499
16 H 0.3444 0.2118 0.6501
17 H 0.7919 0.4372 0.9384
18 H 0.5616 0.2919 0.4372
19 H 0.1556 0.7882 0.1501
20 H 0.2919 0.0628 0.0616
21 H 0.9372 0.9384 0.7081
22 H 0.7919 0.0628 0.4384
23 H 0.1501 0.3444 0.2882
24 H 0.1556 0.7118 0.6501
25 H 0.8444 0.2118 0.8499
26 H 0.3444 0.2882 0.1501
27 H 0.0616 0.2081 0.5628
28 H 0.2882 0.1501 0.3444
29 H 0.3499 0.8444 0.2882
30 H 0.8444 0.2882 0.3499
31 H 0.9384 0.7919 0.4372
32 H 0.2118 0.8499 0.8444
33 H 0.9384 0.7081 0.9372
34 H 0.5616 0.2081 0.9372
35 H 0.2118 0.6501 0.3444
36 H 0.6501 0.3444 0.2118
37 H 0.4384 0.7919 0.0628
38 H 0.9372 0.5616 0.2081
39 H 0.5628 0.0616 0.2081
40 H 0.5628 0.4384 0.7081
41 H 0.3499 0.6556 0.7882
42 H 0.0616 0.2919 0.0628
43 H 0.7081 0.9372 0.9384
44 H 0.2882 0.3499 0.8444
45 H 0.4372 0.5616 0.2919
46 H 0.0628 0.0616 0.2919
47 H 0.4384 0.7081 0.5628
48 H 0.2081 0.9372 0.5616
49 B 0.3300 0.9615 0.5373
50 B 0.8779 0.0892 0.0908
51 B 0.6221 0.9108 0.5908
52 B 0.1700 0.4615 0.5373
53 B 0.9092 0.1221 0.9108
54 B 0.9092 0.3779 0.4108
55 B 0.0908 0.6221 0.5892
56 B 0.5892 0.4092 0.1221
57 B 0.6700 0.0385 0.4627
58 B 0.1221 0.9108 0.9092
59 B 0.9108 0.9092 0.1221
60 B 0.0385 0.0373 0.1700
61 B 0.0908 0.8779 0.0892
62 B 0.0892 0.4092 0.3779
63 B 0.4108 0.5908 0.8779
64 B 0.6221 0.5892 0.0908
65 B 0.9108 0.5908 0.6221
66 B 0.0373 0.1700 0.0385
67 B 0.8779 0.4108 0.5908
68 B 0.5908 0.6221 0.9108
69 B 0.4627 0.8300 0.5385
70 B 0.4615 0.5373 0.1700
71 B 0.5892 0.0908 0.6221
72 B 0.3779 0.0892 0.4092
73 B 0.0373 0.3300 0.5385
74 B 0.4092 0.1221 0.5892
75 B 0.9627 0.8300 0.9615
76 B 0.4627 0.6700 0.0385
77 B 0.0385 0.4627 0.6700
78 B 0.1700 0.0385 0.0373
79 B 0.5373 0.1700 0.4615
80 B 0.8300 0.9615 0.9627
81 B 0.5373 0.3300 0.9615
82 B 0.9615 0.9627 0.8300
83 B 0.3300 0.5385 0.0373
84 B 0.8300 0.5385 0.4627
85 B 0.9615 0.5373 0.3300
86 B 0.0892 0.0908 0.8779
87 B 0.4092 0.3779 0.0892
88 B 0.6700 0.4615 0.9627
89 B 0.4108 0.9092 0.3779
90 B 0.5385 0.0373 0.3300
91 B 0.3779 0.4108 0.9092
92 B 0.5908 0.8779 0.4108
93 B 0.5385 0.4627 0.8300
94 B 0.1221 0.5892 0.4092
95 B 0.4615 0.9627 0.6700
96 B 0.9627 0.6700 0.4615
97 Li 0.6472 0.6472 0.6472
98 Li 0.3528 0.1472 0.8528
99 Li 0.8528 0.1472 0.6472
100 Li 0.1472 0.8528 0.3528
101 Li 0.3528 0.3528 0.3528
102 Li 0.1472 0.6472 0.8528
103 Li 0.6472 0.8528 0.1472
104 Li 0.8528 0.3528 0.1472

## Properties
Energy: -5.116 eV/atom
Magnetic moment: 0.00 μB/f.u.
Polymorph energy (0 for the lowest one): 0.0034 eV per atom
Density of states at the Fermi level: 0.0 states/eV per cell
Volume: 8.3 Å³/atom
SG: No. 205

# 4
Entry from the Alexandria database: a relaxed structure of LiB2H6 (PBE).

Unit cell a=3.8888 b=3.8888 c=3.8888 alpha=60.00 beta=60.00 gamma=60.00
Fractional positions:
1 H 0.2928 0.2928 0.7072
2 H 0.7072 0.2928 0.7072
3 H 0.2928 0.7072 0.7072
4 H 0.2928 0.7072 0.2928
5 H 0.7072 0.2928 0.2928
6 H 0.7072 0.7072 0.2928
7 B 0.7500 0.7500 0.7500
8 B 0.2500 0.2500 0.2500
9 Li 0.0000 0.0000 0.0000

## Properties
Energy: -2.644 eV/atom
Magnetic moment: 0.00 μB/f.u.
Polymorph energy (0 for the lowest one): 1.3593 eV per atom
Density of states at the Fermi level: 1.6 states/eV per cell
Volume: 4.6 Å³/atom
SG: No. 225

# 5
Entry from the Alexandria database: a relaxed structure of LiBH4 (PBE).

Unit cell a=4.3115 b=5.6336 c=8.5747 alpha=90.00 beta=90.00 gamma=90.00
Fractional positions:
1 H 0.7500 0.8036 0.5317
2 H 0.5193 0.6850 0.7178
3 H 0.7500 0.4512 0.5874
4 H 0.7500 0.0488 0.0874
5 H 0.9807 0.6850 0.7178
6 H 0.9807 0.8150 0.2178
7 H 0.4807 0.3150 0.2822
8 H 0.2500 0.3036 0.9683
9 H 0.2500 0.5488 0.4126
10 H 0.5193 0.8150 0.2178
11 H 0.4807 0.1850 0.7822
12 H 0.2500 0.9512 0.9126
13 H 0.0193 0.1850 0.7822
14 H 0.0193 0.3150 0.2822
15 H 0.7500 0.6964 0.0317
16 H 0.2500 0.1964 0.4683
17 B 0.7500 0.8439 0.1361
18 B 0.7500 0.6561 0.6361
19 B 0.2500 0.1561 0.8639
20 B 0.2500 0.3439 0.3639
21 Li 0.2500 0.4186 0.6420
22 Li 0.2500 0.0814 0.1420
23 Li 0.7500 0.9186 0.8580
24 Li 0.7500 0.5814 0.3580

## Properties
Energy: -4.023 eV/atom
Magnetic moment: 0.00 μB/f.u.
Polymorph energy (0 for the lowest one): 0.0000 eV per atom
Density of states at the Fermi level: 0.0 states/eV per cell
Volume: 8.7 Å³/atom
SG: No. 62

# 6
Entry from the Alexandria database: a relaxed structure of LiBH3 (PBE).

Unit cell a=3.1809 b=3.1809 c=3.1809 alpha=90.00 beta=90.00 gamma=90.00
Fractional positions:
1 H 0.5000 0.0000 0.0000
2 H 0.0000 0.0000 0.5000
3 H 0.0000 0.5000 0.0000
4 Li 0.0000 0.0000 0.0000
5 B 0.5000 0.5000 0.5000

## Properties
Energy: -2.498 eV/atom
Magnetic moment: 0.00 μB/f.u.
Polymorph energy (0 for the lowest one): 1.5771 eV per atom
Density of states at the Fermi level: 0.8 states/eV per cell
Volume: 6.4 Å³/atom
SG: No. 221

# 7
Entry from the Alexandria database: a relaxed structure of LiBH2 (PBE).

Unit cell a=4.1340 b=4.1400 c=5.3312 alpha=69.29 beta=88.80 gamma=60.22
Fractional positions:
1 Li 0.6856 0.7460 0.2467
2 Li 0.2203 0.6659 0.8705
3 H 0.0592 0.4770 0.6018
4 H 0.5535 0.5130 0.6040
5 H 0.6902 0.2339 0.2124
6 H 0.1815 0.2031 0.2101
7 B 0.8392 0.4244 0.7437
8 B 0.9196 0.2530 0.0654

## Properties
Energy: -4.031 eV/atom
Magnetic moment: 0.00 μB/f.u.
Polymorph energy (0 for the lowest one): 0.1023 eV per atom
Volume: 9.1 Å³/atom
SG: No. 1

# 8
Entry from the Alexandria database: a relaxed structure of LiBH4 (PBE).

Unit cell a=4.0222 b=4.0222 c=4.0222 alpha=60.00 beta=60.00 gamma=60.00
Fractional positions:
1 B 0.5000 0.5000 0.5000
2 H 0.6235 0.6235 0.6235
3 H 0.6235 0.1294 0.6235
4 H 0.1294 0.6235 0.6235
5 H 0.6235 0.6235 0.1294
6 Li 0.0000 0.0000 0.0000

## Properties
Energy: -3.957 eV/atom
Magnetic moment: 0.00 μB/f.u.
Polymorph energy (0 for the lowest one): 0.0664 eV per atom
Density of states at the Fermi level: 0.0 states/eV per cell
Volume: 7.7 Å³/atom
SG: No. 216

# 9
Entry from the Alexandria database: a relaxed structure of LiBH3 (PBE).

Unit cell a=4.1791 b=5.5706 c=6.6974 alpha=90.00 beta=90.00 gamma=90.00
Fractional positions:
1 Li 0.0000 0.5000 0.5000
2 Li 0.5000 0.0000 0.5000
3 Li 0.0000 0.5000 0.0000
4 Li 0.5000 0.0000 0.0000
5 H 0.0269 0.2794 0.2500
6 H 0.5269 0.2206 0.7500
7 H 0.5966 0.3300 0.0946
8 H 0.9034 0.8300 0.0946
9 H 0.9731 0.7206 0.7500
10 H 0.4034 0.6700 0.5946
11 H 0.4034 0.6700 0.9054
12 H 0.5966 0.3300 0.4054
13 H 0.0966 0.1700 0.9054
14 H 0.4731 0.7794 0.2500
15 H 0.9034 0.8300 0.4054
16 H 0.0966 0.1700 0.5946
17 B 0.2625 0.7049 0.7500
18 B 0.2375 0.2049 0.7500
19 B 0.7375 0.2951 0.2500
20 B 0.7625 0.7951 0.2500

## Properties
Energy: -3.857 eV/atom
Magnetic moment: 0.00 μB/f.u.
Polymorph energy (0 for the lowest one): 0.2184 eV per atom
Density of states at the Fermi level: 2.8 states/eV per cell
Volume: 7.8 Å³/atom
SG: No. 62

# 10
Entry from the Alexandria database: a relaxed structure of LiB2H2 (PBE).

Unit cell a=2.9712 b=4.2442 c=6.4413 alpha=73.67 beta=89.75 gamma=88.19
Fractional positions:
1 H 0.7621 0.8519 0.8267
2 H 0.2806 0.3844 0.5555
3 H 0.2813 0.9857 0.4535
4 H 0.7904 0.3805 0.8350
5 Li 0.7244 0.0198 0.0672
6 Li 0.7798 0.6827 0.5385
7 B 0.2779 0.2929 0.3895
8 B 0.7733 0.4544 0.2383
9 B 0.7766 0.5712 0.9496
10 B 0.2743 0.5320 0.1155

## Properties
Energy: -4.515 eV/atom
Magnetic moment: 0.00 μB/f.u.
Polymorph energy (0 for the lowest one): 0.0121 eV per atom
Density of states at the Fermi level: 0.5 states/eV per cell
Volume: 7.8 Å³/atom
SG: No. 1

# 11
Entry from the Alexandria database: a relaxed structure of LiB6H6 (PBE).

Unit cell a=7.0220 b=7.0220 c=7.0220 alpha=60.00 beta=60.00 gamma=60.00
Fractional positions:
1 H 0.6022 0.8955 0.1045
2 H 0.3978 0.1045 0.8955
3 H 0.3978 0.8955 0.6022
4 H 0.3978 0.6022 0.1045
5 H 0.6022 0.3978 0.8955
6 H 0.1045 0.3978 0.6022
7 H 0.1045 0.6022 0.8955
8 H 0.8955 0.6022 0.3978
9 H 0.8955 0.1045 0.6022
10 H 0.8955 0.3978 0.1045
11 H 0.1045 0.8955 0.3978
12 H 0.6022 0.1045 0.3978
13 B 0.7663 0.0568 0.2337
14 B 0.0568 0.2337 0.7663
15 B 0.2337 0.0568 0.9432
16 B 0.9432 0.0568 0.7663
17 B 0.7663 0.9432 0.0568
18 B 0.2337 0.9432 0.7663
19 B 0.0568 0.9432 0.2337
20 B 0.9432 0.2337 0.0568
21 B 0.2337 0.7663 0.0568
22 B 0.9432 0.7663 0.2337
23 B 0.0568 0.7663 0.9432
24 B 0.7663 0.2337 0.9432
25 Li 0.7500 0.7500 0.7500
26 Li 0.2500 0.2500 0.2500

## Properties
Energy: -5.067 eV/atom
Magnetic moment: 0.00 μB/f.u.
Polymorph energy (0 for the lowest one): 0.0519 eV per atom
Density of states at the Fermi level: 0.0 states/eV per cell
Volume: 9.4 Å³/atom
SG: No. 202

# 12
Entry from the Alexandria database: a relaxed structure of LiBH4 (PBE).

Unit cell a=4.1625 b=4.1625 c=7.2738 alpha=90.00 beta=90.00 gamma=120.00
Fractional positions:
1 H 0.8261 0.1739 0.0935
2 H 0.3333 0.6667 0.3689
3 H 0.8261 0.6522 0.0935
4 H 0.6667 0.3333 0.8689
5 H 0.3478 0.1739 0.0935
6 H 0.6522 0.8261 0.5935
7 H 0.1739 0.3478 0.5935
8 H 0.1739 0.8261 0.5935
9 Li 0.3333 0.6667 0.1098
10 Li 0.6667 0.3333 0.6098
11 B 0.3333 0.6667 0.5360
12 B 0.6667 0.3333 0.0360

## Properties
Energy: -3.995 eV/atom
Magnetic moment: 0.00 μB/f.u.
Polymorph energy (0 for the lowest one): 0.0284 eV per atom
Density of states at the Fermi level: 0.0 states/eV per cell
Volume: 9.1 Å³/atom
SG: No. 186

# 13
Entry from the Alexandria database: a relaxed structure of LiB2H2 (PBE).

Unit cell a=5.4812 b=2.9725 c=10.0842 alpha=90.00 beta=98.98 gamma=90.00
Fractional positions:
1 B 0.3597 0.0000 0.2958
2 B 0.3597 0.5000 0.7958
3 B 0.1322 0.5000 0.6506
4 B 0.9629 0.0000 0.5941
5 B 0.2467 0.5000 0.2035
6 B 0.1322 0.0000 0.1506
7 B 0.2467 0.0000 0.7035
8 B 0.9629 0.5000 0.0941
9 H 0.9254 0.0000 0.4691
10 H 0.5854 0.0000 0.2998
11 H 0.5854 0.5000 0.7998
12 H 0.7551 0.5000 0.1292
13 H 0.7551 0.0000 0.6292
14 H 0.3326 0.0000 0.4169
15 H 0.9254 0.5000 0.9691
16 H 0.3326 0.5000 0.9169
17 Li 0.1098 0.0000 0.9185
18 Li 0.5594 0.0000 0.1181
19 Li 0.5594 0.5000 0.6181
20 Li 0.1098 0.5000 0.4185

## Properties
Energy: -4.513 eV/atom
Magnetic moment: 0.00 μB/f.u.
Polymorph energy (0 for the lowest one): 0.0139 eV per atom
Density of states at the Fermi level: 2.2 states/eV per cell
Volume: 8.1 Å³/atom
SG: No. 8

# 14
Entry from the Alexandria database: a relaxed structure of Li3B2H8 (PBE).

Unit cell a=3.9748 b=3.9748 c=8.7588 alpha=76.89 beta=76.89 gamma=60.00
Fractional positions:
1 H 0.7573 0.7573 0.2248
2 H 0.7573 0.2606 0.2248
3 H 0.6573 0.6573 0.0282
4 H 0.7394 0.2427 0.7752
5 H 0.2427 0.2427 0.7752
6 H 0.2606 0.7573 0.2248
7 H 0.2427 0.7394 0.7752
8 H 0.3427 0.3427 0.9718
9 Li 0.2225 0.2225 0.3326
10 Li 0.0000 0.0000 0.0000
11 Li 0.7775 0.7775 0.6674
12 B 0.3910 0.3910 0.8270
13 B 0.6090 0.6090 0.1730

## Properties
Energy: -3.784 eV/atom
Magnetic moment: 0.00 μB/f.u.
Density of states at the Fermi level: 1.0 states/eV per cell
Volume: 8.9 Å³/atom
SG: No. 166

# 15
Entry from the Alexandria database: a relaxed structure of LiBH4 (PBE).

Unit cell a=4.2707 b=6.9522 c=11.5204 alpha=48.78 beta=90.00 gamma=90.00
Last column: magnetic moment on the atom in μB.
Fractional positions:
1 B 0.2495 0.9055 0.9071  0.04
2 B 0.7505 0.4055 0.9071  0.04
3 B 0.7505 0.0945 0.0929  0.04
4 B 0.2495 0.5945 0.0929  0.04
5 H 0.0224 0.9461 0.8264  0.01
6 H 0.7491 0.2856 0.6273  0.37
7 H 0.5239 0.0542 0.1738  0.01
8 H 0.2509 0.7856 0.6273  0.37
9 H 0.4761 0.9458 0.8262  0.01
10 H 0.9776 0.4461 0.8264  0.01
11 H 0.4761 0.5542 0.1738  0.01
12 H 0.0224 0.5539 0.1736  0.01
13 H 0.5239 0.4458 0.8262  0.01
14 H 0.7498 0.5859 0.9046  0.00
15 H 0.7491 0.2144 0.3727  0.37
16 H 0.9776 0.0539 0.1736  0.01
17 H 0.2509 0.7144 0.3727  0.37
18 H 0.2502 0.4141 0.0954  0.00
19 H 0.7498 0.9141 0.0954  0.00
20 H 0.2502 0.0859 0.9046  0.00
21 Li 0.2504 0.8791 0.1288  0.01
22 Li 0.7496 0.3791 0.1288  0.01
23 Li 0.7496 0.1209 0.8712  0.01
24 Li 0.2504 0.6209 0.8712  0.01

## Properties
Energy: -3.562 eV/atom
Magnetic moment: 0.99 μB/f.u.
Polymorph energy (0 for the lowest one): 0.4610 eV per atom
Volume: 10.7 Å³/atom
SG: No. 13